one) VASP calculation (GGA-PBE) on crystalline TlHRu2O at its relaxed geometry.

Structure (CIF):
```
data_TlHRu2O
_cell_length_a 5.180
_cell_length_b 5.180
_cell_length_c 3.396
_cell_angle_alpha 90.00
_cell_angle_beta 90.00
_cell_angle_gamma 90.00
_symmetry_space_group_name_H-M 'P 4/m m m'
_symmetry_Int_Tables_number 123
_symmetry_space_group_name_Hall '-P 4 2'
loop_
_atom_site_label
_atom_site_type_symbol
_atom_site_fract_x
_atom_site_fract_y
_atom_site_fract_z
Tl1 Tl 0.000 0.000 0.000
H1 H 0.000 0.000 0.500
Ru1 Ru 0.000 0.500 0.000
O1 O 0.500 0.500 0.500
```

Calculated values
* D(E_F): 6.19 states/eV/cell

---

two) VASP calculation (GGA-PBE) on crystalline TlHRu2O at its relaxed geometry.

Structure (CIF):
```
data_TlHRu2O
_cell_length_a 3.781
_cell_length_b 3.781
_cell_length_c 4.675
_cell_angle_alpha 90.00
_cell_angle_beta 90.00
_cell_angle_gamma 90.00
_symmetry_space_group_name_H-M 'P 4/m m m'
_symmetry_Int_Tables_number 123
_symmetry_space_group_name_Hall '-P 4 2'
loop_
_atom_site_label
_atom_site_type_symbol
_atom_site_fract_x
_atom_site_fract_y
_atom_site_fract_z
Tl1 Tl 0.000 0.000 0.000
H1 H 0.500 0.500 0.500
Ru1 Ru 0.000 0.500 0.500
O1 O 0.500 0.500 0.000
```

Calculated values
* D(E_F): 3.26 states/eV/cell

---

Energies in eV/atom, measured from the most stable structure: one) 1.310; two) 0.000.

---

one) VASP calculation (GGA-PBE) on crystalline SbHO at its relaxed geometry.

Structure (CIF):
```
data_SbHO
_cell_length_a 5.229
_cell_length_b 3.984
_cell_length_c 9.029
_cell_angle_alpha 90.00
_cell_angle_beta 90.00
_cell_angle_gamma 90.00
_symmetry_space_group_name_H-M 'P n m a'
_symmetry_Int_Tables_number 62
loop_
_symmetry_equiv_pos_as_xyz
'x,y,z'
'-x,-y,-z'
'-x+1/2,-y,z+1/2'
'x+1/2,y,-z+1/2'
'x+1/2,-y+1/2,-z+1/2'
'-x+1/2,y+1/2,z+1/2'
'-x,y+1/2,-z'
'x,-y+1/2,z'
loop_
_atom_site_label
_atom_site_type_symbol
_atom_site_fract_x
_atom_site_fract_y
_atom_site_fract_z
Sb1 Sb 0.223 0.250 0.120
H1 H 0.235 0.750 0.149
O1 O 0.096 0.250 0.331
```

Calculated values
* D(E_F): 0.08 states/eV/cell

---

two) VASP calculation (GGA-PBE) on crystalline SbHO at its relaxed geometry.

Structure (CIF):
```
data_SbHO
_cell_length_a 4.371
_cell_length_b 4.652
_cell_length_c 5.306
_cell_angle_alpha 95.90
_cell_angle_beta 111.70
_cell_angle_gamma 91.12
_symmetry_space_group_name_H-M 'P 1'
_symmetry_Int_Tables_number 1
loop_
_symmetry_equiv_pos_as_xyz
'x,y,z'
loop_
_atom_site_label
_atom_site_type_symbol
_atom_site_fract_x
_atom_site_fract_y
_atom_site_fract_z
Sb1 Sb 0.000 0.000 0.000
Sb2 Sb 0.208 0.443 0.505
H1 H 0.598 0.097 0.947
H2 H 0.859 0.891 0.447
O1 O 0.847 0.716 0.311
O2 O 0.925 0.205 0.638
```

---

Energies in eV/atom, measured from the most stable structure: one) 0.135; two) 0.000.